The following is a GGA-PBE calculation of an optimized crystal structure of LiCeEuCd, from Alexandria via LeMat-Bulk.

a b c (Å): 5.4830 5.4830 5.4830
angles (deg): 60.00 60.00 60.00
Closest atoms and distances in Å follow each position.
Fractional positions:
Eu 0.5000 0.5000 0.5000  4 Li 3.36, 4 Cd 3.36
Ce 0.0000 0.0000 0.0000  4 Cd 3.36, 4 Li 3.36
Li 0.7500 0.7500 0.7500  4 Ce 3.36, 4 Eu 3.36
Cd 0.2500 0.2500 0.2500  4 Eu 3.36, 4 Ce 3.36

Computed properties:
Calculated formation energy   -3.1 meV/atom
Symmetry   F-43m, No. 216